Entry 1:
## Nb4Sb2H (GGA-PBE)

Data for an optimized crystal structure of Nb4Sb2H.

a b c (Å): 4.2280 4.2280 7.5863
angles (deg): 73.82 73.82 90.00
Fractional coordinates of all 7 atoms:
1 H 0.0000 0.0000 0.0000
2 Sb 0.6472 0.6472 0.7055
3 Sb 0.3528 0.3528 0.2945
4 Nb 0.5000 0.0000 0.0000
5 Nb 0.0000 0.5000 0.0000
6 Nb 0.1490 0.1490 0.7021
7 Nb 0.8510 0.8510 0.2979

Calculated values
magnetization = 0.00 μB/cell

---

Entry 2:
## BeCrS3 (GGA-PBE)

Data for an optimized crystal structure of BeCrS3.

a b c (Å): 4.3123 4.3123 4.3123
angles (deg): 90.00 90.00 90.00
Each line ends with the local moment (μB).
Fractional coordinates of all 5 atoms:
1 S 0.5000 0.0000 0.0000  -0.25
2 S 0.0000 0.0000 0.5000  -0.28
3 S 0.0000 0.5000 0.0000  -0.36
4 Cr 0.5000 0.5000 0.5000  3.72
5 Be 0.0000 0.0000 0.0000  0.01

Calculated values
relative energy among the computed polymorphs = 0.0000 eV per atom
magnetization = 2.82 μB/cell
formation energy (no corrections) = 0.318 eV per atom

---

Entry 3:
## MgPAuCl2 (GGA-PBE)

Data for an optimized crystal structure of MgPAuCl2.

a b c (Å): 5.0434 5.0434 4.9433
angles (deg): 90.00 90.00 90.00
Each line ends with the local moment (μB).
Fractional coordinates of all 5 atoms:
1 Au 0.0000 0.0000 0.0000  0.10
2 Cl 0.0000 0.5000 0.0000  0.04
3 Cl 0.5000 0.0000 0.0000  0.04
4 Mg 0.5000 0.5000 0.5000  -0.05
5 P 0.0000 0.0000 0.5000  0.40

Calculated values
relative energy among the computed polymorphs = 0.2302 eV per atom
magnetization = 0.92 μB/cell
formation energy (no corrections) = 0.172 eV per atom

---

The records above give, respectively, electronic total energy values of -7.58; -4.83; -2.62 eV per atom.